The following is a PBE-GGA calculation of Y2PRu2 after structural relaxation, from Alexandria via LeMat-Bulk.

Cell lengths 6.338, 6.338, 4.666 Å; angles 90.00, 90.00, 90.00 degrees
Fractional positions:
Y (0.175, 0.675, 0.500)
Y (0.675, 0.825, 0.500)
Y (0.825, 0.325, 0.500)
Y (0.325, 0.175, 0.500)
Ru (0.352, 0.852, 0.000)
Ru (0.852, 0.648, 0.000)
Ru (0.648, 0.148, 0.000)
Ru (0.148, 0.352, 0.000)
P (0.000, 0.000, 0.000)
P (0.500, 0.500, 0.000)

## Properties
Its space group is P4/mbm, No. 127. Its spin magnetization is 0.000 μB/atom. The energy relative to the elements comes out at -2.5 eV per formula unit.


The following is a PBE-GGA calculation of YP3Ru after structural relaxation, from Alexandria via LeMat-Bulk.

Cell lengths 5.078, 5.078, 5.078 Å; angles 90.00, 90.00, 90.00 degrees
Fractional positions:
Y (0.000, 0.000, 0.000)
Ru (0.500, 0.500, 0.500)
P (0.000, 0.500, 0.000)
P (0.000, 0.000, 0.500)
P (0.500, 0.000, 0.000)

## Properties
Its space group is Pm-3m, No. 221. Its spin magnetization is 0.000 μB/atom. The calculation puts the distance to the lowest polymorph of the same formula at 1525 meV per atom. The energy relative to the elements comes out at 7.6 eV per formula unit.